## Sc2CdCo (SCAN)

Data for a PBEsol-optimized structure of Sc2CdCo.

## Properties
The calculation puts the magnetization at 0.00 μB per cell. For the formation energy, the calculation gives 0.155 eV per atom. As for the final energy: -18.89 eV/atom.

Cell and atoms, written as CIF:
```
data_Sc2CdCo
_chemical_formula_sum 'Sc6 Cd3 Co3'
_space_group_name_H-M_alt 'R -3 m'
_space_group_IT_number 166
_space_group_name_Hall '-R 3 2"'
_cell_length_a 3.3264
_cell_length_b 3.3264
_cell_length_c 27.3341
_cell_angle_alpha 90.00
_cell_angle_beta 90.00
_cell_angle_gamma 120.00
loop_
_atom_site_label
_atom_site_type_symbol
_atom_site_fract_x
_atom_site_fract_y
_atom_site_fract_z
Sc1 Sc 0.0000 0.0000 0.1116
Cd1 Cd 0.0000 0.0000 0.0000
Co1 Co 0.0000 0.0000 0.5000
```

## Zr2AsRu (SCAN)

Data for a PBEsol-optimized structure of Zr2AsRu.

## Properties
The calculation puts the magnetization at 0.00 μB per cell. For the formation energy, the calculation gives -0.911 eV per atom. As for the final energy: -30.01 eV/atom.

Cell and atoms, written as CIF:
```
data_Zr2AsRu
_chemical_formula_sum 'Zr4 As2 Ru2'
_space_group_name_H-M_alt 'A m m 2'
_space_group_IT_number 38
_cell_length_a 4.056
_cell_length_b 3.548
_cell_length_c 10.018
_cell_angle_alpha 90.00
_cell_angle_beta 90.00
_cell_angle_gamma 90.00
loop_
_space_group_symop_operation_xyz
'x,y,z'
'-x,-y,z'
'-x,y,z'
'x,-y,z'
'x,y+1/2,z+1/2'
'-x,-y+1/2,z+1/2'
'-x,y+1/2,z+1/2'
'x,-y+1/2,z+1/2'
loop_
_atom_site_label
_atom_site_type_symbol
_atom_site_fract_x
_atom_site_fract_y
_atom_site_fract_z
Zr1 Zr 0.000 0.000 0.000
Zr2 Zr 0.500 0.000 0.285
As1 As 0.000 0.000 0.722
Ru1 Ru 0.500 0.000 0.552
```

## InFePb2 (SCAN)

Data for a PBEsol-optimized structure of InFePb2.

## Properties
The calculation puts the magnetization at 6.07 μB per cell. For the formation energy, the calculation gives 0.461 eV per atom. As for the final energy: -50.31 eV/atom.

Cell and atoms, written as CIF:
```
data_InFePb2
_chemical_formula_sum 'In2 Fe2 Pb4'
_space_group_name_H-M_alt 'C m m m'
_space_group_IT_number 65
_space_group_name_Hall '-C 2 2'
_cell_length_a 6.549
_cell_length_b 8.685
_cell_length_c 3.309
_cell_angle_alpha 90.00
_cell_angle_beta 90.00
_cell_angle_gamma 90.00
loop_
_atom_site_label
_atom_site_type_symbol
_atom_site_fract_x
_atom_site_fract_y
_atom_site_fract_z
In1 In 0.000 0.000 0.000
Fe1 Fe 0.000 0.500 0.000
Pb1 Pb 0.250 0.250 0.500
```

Q: What is the final energy in the third record?
A: -50.31 eV/atom

Q: Look up the magnetization of the second one.
A: 0.00 μB per cell

Q: What is the formula in the second record?
A: Zr2AsRu

Q: Look up the magnetization of the first one.
A: 0.00 μB per cell